First-principles (PBE) data for a relaxed structure of LiCo2HPd, as listed in Alexandria.

Cell lengths 3.5386, 3.5386, 4.1226 Å; angles 90.00, 90.00, 90.00 degrees
Last column: nearest neighbours and their distance in Å.
Space group P4/mmm (No. 123)
Symmetry-distinct sites (fractional):
1 Li 0.0000 0.0000 0.0000 (multiplicity 1)  4 Pd 2.50, 8 Co 2.72
2 Co 0.0000 0.5000 0.5000 (multiplicity 2)  2 H 1.77
3 H 0.5000 0.5000 0.5000 (multiplicity 1)  4 Co 1.77
4 Pd 0.5000 0.5000 0.0000 (multiplicity 1)  2 H 2.06

## Properties
The raw total energy is -4.911 eV per atom. The density is 7.5 g cm⁻³. Its magnetization is 3.113 μB/f.u. The distance to the lowest polymorph of the same formula is 0.041 eV per atom.